Entry 1:
DFT (PBE) results for an optimized crystal structure of Na2NiBr6.

Computed properties:
SG = I4/m, No. 87
E = -2.7706 eV/atom
calculated volume = 239.4 Å³/cell
total moment = 0.00 μB per cell

Lattice parameters (Å, degrees): 7.0301 7.0301 7.0301 121.60 121.60 87.25
Fractional coordinates of all 9 atoms:
Br  0.1811  0.6972  0.8783
Br  0.7633  0.7633  0.0000
Br  0.6972  0.8189  0.5161
Br  0.3028  0.1811  0.4839
Br  0.2367  0.2367  0.0000
Br  0.8189  0.3028  0.1217
Ni  0.0000  0.0000  0.0000
Na  0.7500  0.2500  0.5000
Na  0.2500  0.7500  0.5000

---

Entry 2:
DFT (PBE) results for an optimized crystal structure of TcCl4.

Computed properties:
SG = Immm, No. 71
E = -4.1576 eV/atom
calculated volume = 251.2 Å³/cell
total moment = 4.00 μB per cell

Lattice parameters (Å, degrees): 6.9945 6.9945 6.9945 122.69 108.24 98.45
Last column: magnetic moment on the atom in μB.
Fractional coordinates of all 10 atoms:
Tc  0.0000  0.7253  0.7253  1.52
Tc  0.0000  0.2747  0.2747  1.52
Cl  0.1742  0.1742  0.0000  0.00
Cl  0.7205  0.7402  0.4607  0.10
Cl  0.2009  0.7009  0.5000  0.05
Cl  0.2795  0.2598  0.5393  0.10
Cl  0.7205  0.2598  0.9803  0.10
Cl  0.7991  0.2991  0.5000  0.05
Cl  0.8258  0.8258  0.0000  0.00
Cl  0.2795  0.7402  0.0197  0.10

---

Entry 3:
DFT (PBE) results for an optimized crystal structure of Gd3Tl2Pb5.

Computed properties:
SG = Cmmm, No. 65
E = -4.0765 eV/atom
calculated volume = 283.1 Å³/cell
total moment = 0.00 μB per cell

Lattice parameters (Å, degrees): 13.1287 13.1287 4.6736 90.00 90.00 159.42
Fractional coordinates of all 10 atoms:
Pb  0.5974  0.4026  0.5000
Pb  0.7939  0.2061  0.5000
Pb  0.0000  0.0000  0.5000
Pb  0.4026  0.5974  0.5000
Pb  0.2061  0.7939  0.5000
Tl  0.0972  0.9029  0.0000
Tl  0.9029  0.0972  0.0000
Gd  0.3112  0.6888  0.0000
Gd  0.5000  0.5000  0.0000
Gd  0.6888  0.3112  0.0000

---

Entry 4:
DFT (PBE) results for an optimized crystal structure of HoSeO3F.

Computed properties:
SG = P-1, No. 2
E = -6.5313 eV/atom
calculated volume = 180.9 Å³/cell
total moment = 0.00 μB per cell

Lattice parameters (Å, degrees): 4.2426 6.3798 6.7937 93.30 95.67 97.68
Fractional coordinates of all 12 atoms:
Ho  0.5500  0.6322  0.7612
Ho  0.4500  0.3678  0.2388
O  0.3352  0.3248  0.9090
O  0.4898  0.6881  0.4313
O  0.6163  0.9925  0.7876
O  0.6648  0.6752  0.0910
O  0.3837  0.0075  0.2124
O  0.5102  0.3119  0.5687
F  0.0537  0.6744  0.7341
F  0.9463  0.3256  0.2659
Se  0.3163  0.1300  0.7152
Se  0.6837  0.8700  0.2848

---

Entry 5:
DFT (PBE) results for an optimized crystal structure of LiThAgSe3.

Computed properties:
SG = Cmcm, No. 63
E = -4.9260 eV/atom
calculated volume = 303.3 Å³/cell
total moment = 0.00 μB per cell

Lattice parameters (Å, degrees): 6.8823 6.8823 11.0184 90.00 90.00 144.47
Fractional coordinates of all 12 atoms:
Se  0.6451  0.3549  0.0647
Se  0.3549  0.6451  0.9353
Se  0.1032  0.8968  0.7500
Se  0.8968  0.1032  0.2500
Se  0.3549  0.6451  0.5647
Se  0.6451  0.3549  0.4353
Th  0.0000  0.0000  0.5000
Th  0.0000  0.0000  0.0000
Ag  0.4786  0.5214  0.7500
Ag  0.5214  0.4786  0.2500
Li  0.7606  0.2394  0.7500
Li  0.2394  0.7606  0.2500

---

Entry 6:
DFT (PBE) results for an optimized crystal structure of Ag5PBr2O4.

Computed properties:
SG = Amm2, No. 38
E = -4.3212 eV/atom
calculated volume = 219.4 Å³/cell

Lattice parameters (Å, degrees): 7.0559 5.8723 5.8723 115.63 90.00 90.00
Fractional coordinates of all 12 atoms:
O  0.0000  0.1967  0.4514
O  0.8192  0.6169  0.6169
O  0.1808  0.6169  0.6169
O  0.0000  0.4514  0.1967
Br  0.5000  0.2793  0.9394
Br  0.5000  0.9394  0.2793
Ag  0.7942  0.0315  0.6490
Ag  0.5000  0.4773  0.4773
Ag  0.2058  0.6490  0.0315
Ag  0.7942  0.6490  0.0315
Ag  0.2058  0.0315  0.6490
P  0.0000  0.4671  0.4671

---

Entry 7:
DFT (PBE) results for an optimized crystal structure of HoTlGa.

Computed properties:
SG = F-43m, No. 216
E = -3.5207 eV/atom
calculated volume = 79.1 Å³/cell
total moment = 0.00 μB per cell

Lattice parameters (Å, degrees): 4.8187 4.8187 4.8187 60.00 60.00 60.00
Fractional coordinates of all 3 atoms:
Ga  0.0000  0.0000  0.0000
Tl  0.7500  0.7500  0.7500
Ho  0.2500  0.2500  0.2500

---

Entry 8:
DFT (PBE) results for an optimized crystal structure of Lu4CoSnC2.

Computed properties:
SG = P-6m2, No. 187
E = -6.3016 eV/atom
calculated volume = 152.6 Å³/cell
total moment = 0.71 μB per cell

Lattice parameters (Å, degrees): 3.4957 3.4957 14.4173 90.00 90.00 120.00
Last column: magnetic moment on the atom in μB.
Fractional coordinates of all 8 atoms:
Lu  0.0000  0.0000  0.6365  -0.10
Lu  0.6667  0.3333  0.8177  -0.02
Lu  0.0000  0.0000  0.3635  -0.10
Lu  0.6667  0.3333  0.1823  -0.02
Sn  0.0000  0.0000  0.0000  0.00
Co  0.6667  0.3333  0.5000  1.06
C  0.3333  0.6667  0.2685  0.01
C  0.3333  0.6667  0.7315  0.01

---

Entry 9:
DFT (PBE) results for an optimized crystal structure of Cs2Na2CdP2.

Computed properties:
SG = R-3m, No. 166
E = -2.5138 eV/atom
calculated volume = 248.9 Å³/cell

Lattice parameters (Å, degrees): 9.1229 9.1229 9.1229 37.21 37.21 37.21
Fractional coordinates of all 7 atoms:
P  0.9045  0.9045  0.9045
P  0.0955  0.0955  0.0955
Cs  0.6089  0.6089  0.6089
Cs  0.3911  0.3911  0.3911
Na  0.2050  0.2050  0.2050
Na  0.7950  0.7950  0.7950
Cd  0.0000  0.0000  0.0000

---

Entry 10:
DFT (PBE) results for an optimized crystal structure of KGa3Ni2.

Computed properties:
SG = Cmcm, No. 63
E = -3.8261 eV/atom
calculated volume = 213.0 Å³/cell
total moment = 0.01 μB per cell

Lattice parameters (Å, degrees): 6.5679 6.5679 5.1712 90.00 90.00 72.69
Fractional coordinates of all 12 atoms:
Ga  0.5211  0.0674  0.7500
Ga  0.0674  0.5211  0.2500
Ga  0.4789  0.9326  0.2500
Ga  0.9390  0.0610  0.7500
Ga  0.9326  0.4789  0.7500
Ga  0.0610  0.9390  0.2500
K  0.6346  0.3654  0.2500
K  0.3654  0.6346  0.7500
Ni  0.1952  0.1952  0.5000
Ni  0.1952  0.1952  0.0000
Ni  0.8048  0.8048  0.0000
Ni  0.8048  0.8048  0.5000

---

Entry 11:
DFT (PBE) results for an optimized crystal structure of Pr2IrBr.

Computed properties:
SG = R-3m, No. 166
E = -6.1094 eV/atom
calculated volume = 118.9 Å³/cell
total moment = 0.03 μB per cell

Lattice parameters (Å, degrees): 8.1931 8.1931 8.1931 29.61 29.61 29.61
Fractional coordinates of all 4 atoms:
Pr  0.2684  0.2684  0.2684
Pr  0.7316  0.7316  0.7316
Br  0.5000  0.5000  0.5000
Ir  0.0000  0.0000  0.0000

---

Entry 12:
DFT (PBE) results for an optimized crystal structure of Rb2HfPdBr6.

Computed properties:
SG = P2_1/c, No. 14
E = -3.9574 eV/atom
calculated volume = 642.8 Å³/cell
total moment = 0.02 μB per cell

Lattice parameters (Å, degrees): 7.4673 7.5882 13.4584 90.00 122.55 90.00
Fractional coordinates of all 20 atoms:
Br  0.1772  0.0087  0.2315
Br  0.3157  0.7000  0.5289
Br  0.1772  0.4913  0.7315
Br  0.2160  0.2872  0.0170
Br  0.6843  0.2000  0.9711
Br  0.7840  0.7872  0.4830
Br  0.6843  0.3000  0.4711
Br  0.8228  0.5087  0.2685
Br  0.3157  0.8000  0.0289
Br  0.8228  0.9913  0.7685
Br  0.7840  0.7128  0.9830
Br  0.2160  0.2128  0.5170
Rb  0.2756  0.9483  0.7512
Rb  0.7244  0.0517  0.2488
Rb  0.2756  0.5517  0.2512
Rb  0.7244  0.4483  0.7488
Pd  0.5000  0.0000  0.5000
Pd  0.5000  0.5000  0.0000
Hf  0.0000  0.5000  0.5000
Hf  0.0000  0.0000  0.0000

---

Entry 13:
DFT (PBE) results for an optimized crystal structure of Hf3InB4.

Computed properties:
SG = Pmmm, No. 47
E = -8.1165 eV/atom
calculated volume = 102.3 Å³/cell
total moment = 0.00 μB per cell

Lattice parameters (Å, degrees): 3.1516 3.4878 9.3084 90.00 90.00 90.00
Fractional coordinates of all 8 atoms:
B  0.5000  0.5000  0.6028
B  0.0000  0.5000  0.3062
B  0.5000  0.5000  0.3972
B  0.0000  0.5000  0.6938
In  0.0000  0.5000  0.0000
Hf  0.5000  0.0000  0.7890
Hf  0.5000  0.0000  0.2110
Hf  0.0000  0.0000  0.5000

---

Entry 14:
DFT (PBE) results for an optimized crystal structure of Na4InGaAu2.

Computed properties:
SG = P-4m2, No. 115
E = -2.4130 eV/atom
calculated volume = 170.6 Å³/cell

Lattice parameters (Å, degrees): 4.9130 4.9130 7.0668 90.00 90.00 90.00
Fractional coordinates of all 8 atoms:
Na  0.5000  0.5000  0.0000
Na  0.0000  0.5000  0.2371
Na  0.5000  0.0000  0.7629
Na  0.0000  0.0000  0.5000
Au  0.0000  0.5000  0.7588
Au  0.5000  0.0000  0.2412
In  0.5000  0.5000  0.5000
Ga  0.0000  0.0000  0.0000

---

Entry 15:
DFT (PBE) results for an optimized crystal structure of UNbSn.

Computed properties:
SG = F-43m, No. 216
E = -7.9045 eV/atom
calculated volume = 74.8 Å³/cell
total moment = 1.34 μB per cell

Lattice parameters (Å, degrees): 4.7301 4.7301 4.7301 60.00 60.00 60.00
Last column: magnetic moment on the atom in μB.
Fractional coordinates of all 3 atoms:
U  0.7500  0.7500  0.7500  1.43
Nb  0.0000  0.0000  0.0000  -0.17
Sn  0.2500  0.2500  0.2500  -0.03

---

Entry 16:
DFT (PBE) results for an optimized crystal structure of ScPaTc.

Computed properties:
SG = F-43m, No. 216
calculated volume = 67.2 Å³/cell
total moment = 0.00 μB per cell
energy of formation from the pure elements = 0.716 eV per atom

Lattice parameters (Å, degrees): 4.5637 4.5637 4.5637 60.00 60.00 60.00
Fractional coordinates of all 3 atoms:
Pa  0.0000  0.0000  0.0000
Sc  0.2500  0.2500  0.2500
Tc  0.7500  0.7500  0.7500

---

Entry 17:
DFT (PBE) results for an optimized crystal structure of HfReTe.

Computed properties:
SG = F-43m, No. 216
E = -8.3970 eV/atom
calculated volume = 64.6 Å³/cell
total moment = 0.02 μB per cell

Lattice parameters (Å, degrees): 4.5042 4.5042 4.5042 60.00 60.00 60.00
Fractional coordinates of all 3 atoms:
Re  0.0000  0.0000  0.0000
Hf  0.2500  0.2500  0.2500
Te  0.7500  0.7500  0.7500

---

Entry 18:
DFT (PBE) results for an optimized crystal structure of DyErAg2S4.

Computed properties:
SG = Cmm2, No. 35
E = -5.2475 eV/atom
calculated volume = 174.7 Å³/cell
total moment = 0.00 μB per cell

Lattice parameters (Å, degrees): 6.5275 6.5275 4.0998 90.00 90.00 90.07
Fractional coordinates of all 8 atoms:
Dy  0.0000  0.0000  0.7746
S  0.6985  0.3015  0.7305
S  0.2016  0.2016  0.2696
S  0.3015  0.6985  0.7305
S  0.7984  0.7984  0.2696
Ag  0.5000  0.0000  0.0000
Ag  0.0000  0.5000  0.0000
Er  0.5000  0.5000  0.2254

---

Entry 19:
DFT (PBE) results for an optimized crystal structure of LiCdAgAu.

Computed properties:
SG = Pmm2, No. 25
E = -2.5113 eV/atom
calculated volume = 142.0 Å³/cell

Lattice parameters (Å, degrees): 4.5957 6.7072 4.6060 90.00 90.00 90.00
Fractional coordinates of all 8 atoms:
Ag  0.0000  0.5000  0.7672
Ag  0.5000  0.0000  0.2281
Cd  0.0000  0.7500  0.2683
Cd  0.0000  0.2500  0.2683
Au  0.0000  0.0000  0.7664
Au  0.5000  0.5000  0.2309
Li  0.5000  0.2501  0.7355
Li  0.5000  0.7499  0.7355

---

Entry 20:
DFT (PBE) results for an optimized crystal structure of GdAgSeO.

Computed properties:
SG = R-3m, No. 166
E = -5.2242 eV/atom
calculated volume = 194.6 Å³/cell
total moment = 0.00 μB per cell

Lattice parameters (Å, degrees): 4.6320 4.6320 10.8105 90.00 102.37 120.00
Fractional coordinates of all 8 atoms:
Ag  0.7327  0.3663  0.0990
Ag  0.2673  0.6337  0.9010
O  0.5890  0.2945  0.8836
O  0.4109  0.7055  0.1164
Gd  0.5400  0.7700  0.3100
Gd  0.4600  0.2300  0.6900
Se  0.7480  0.8740  0.6220
Se  0.2520  0.1260  0.3780